1.
Computed, not measured: a geometry-optimized Nd2GaHg2 structure at the PBE-GGA level of DFT.

a b c (Å): 6.1248 6.1248 11.3849
angles (deg): 114.59 114.59 43.71
Atoms (fractional coordinates):
Nd  0.0107  0.0107  0.3379
Nd  0.1868  0.1868  0.1083
Nd  0.8132  0.8132  0.8917
Nd  0.9893  0.9893  0.6621
Ga  0.2839  0.2839  0.6732
Ga  0.7161  0.7161  0.3268
Hg  0.3488  0.3488  0.4428
Hg  0.4651  0.4651  0.1152
Hg  0.5349  0.5349  0.8848
Hg  0.6512  0.6512  0.5572

Computed properties:
As for the space group: C2/m. The calculation puts the energy of formation at -2.37 eV per formula unit. The value obtained for the calculated total energy is -31.07 eV/cell. The value obtained for the energy above the lowest structure with this stoichiometry is 0.0 meV per atom.

2.
Computed, not measured: a geometry-optimized PrNdAgPt structure at the PBE-GGA level of DFT.

a b c (Å): 4.7324 5.8917 5.8917
angles (deg): 39.25 90.00 90.00
Atoms (fractional coordinates):
Pr  0.0000  0.0000  0.0000
Nd  0.5000  0.2758  0.2758
Ag  0.5000  0.5578  0.5578
Pt  0.0000  0.7237  0.7237

Computed properties:
As for the space group: Amm2. The calculation puts the energy of formation at -2.72 eV per formula unit. The value obtained for the calculated total energy is -21.16 eV/cell. The value obtained for the energy above the lowest structure with this stoichiometry is 0.0 meV per atom.

3.
Computed, not measured: a geometry-optimized Sr2Zr2In structure at the PBE-GGA level of DFT.

a b c (Å): 8.4607 8.4607 8.4607
angles (deg): 149.02 149.02 44.38
Atoms (fractional coordinates):
Sr  0.2500  0.7500  0.5000
Sr  0.7500  0.2500  0.5000
Zr  0.0760  0.0760  0.0000
Zr  0.9240  0.9240  0.0000
In  0.5000  0.5000  0.0000

Computed properties:
As for the space group: I4/mmm. The calculation puts the energy of formation at 3.39 eV per formula unit. The value obtained for the calculated total energy is -19.81 eV/cell. The value obtained for the energy above the lowest structure with this stoichiometry is 365.7 meV per atom.

4.
Computed, not measured: a geometry-optimized Li3Au structure at the PBE-GGA level of DFT.

a b c (Å): 3.9855 3.9855 3.9734
angles (deg): 90.00 90.00 90.00
Atoms (fractional coordinates):
Li  0.0000  0.0000  0.0000
Li  0.0000  0.5000  0.5000
Li  0.5000  0.0000  0.5000
Au  0.5000  0.5000  0.0000

Computed properties:
As for the space group: P4/mmm. The calculation puts the energy of formation at -1.47 eV per formula unit. The value obtained for the calculated total energy is -10.49 eV/cell.